Compound: Mg2MnZnF
Source: Alexandria via LeMat-Bulk
Functional: PBE with a Hubbard U
Structure: optimized geometry

Values from the calculation:
**E**: -2.53 eV/atom

Cell: 5.4309 5.4309 4.9322 Å, 90.00 90.00 90.00°
Space group P4/mmm (No. 123)
Unique sites:
Mg (0.0000, 0.5000, 0.0000)
Mn (0.0000, 0.0000, 0.0000)
Zn (0.0000, 0.0000, 0.5000)
F (0.5000, 0.5000, 0.5000)